## w
Density functional theory data (PBE) for a relaxed structure of Nb2Cd2O5.

CIF file:
```
data_Nb2Cd2O5
_cell_length_a 4.047
_cell_length_b 4.047
_cell_length_c 7.385
_cell_angle_alpha 90.00
_cell_angle_beta 90.00
_cell_angle_gamma 90.00
_symmetry_space_group_name_H-M 'P 4/m m m'
_symmetry_Int_Tables_number 123
_symmetry_space_group_name_Hall '-P 4 2'
loop_
_atom_site_label
_atom_site_fract_x
_atom_site_fract_y
_atom_site_fract_z
_atom_site_occupancy
Nb1 0.000 0.000 0.225 1
Cd1 0.500 0.500 0.000 1
Cd2 0.500 0.500 0.500 1
O1 0.000 0.000 0.500 1
O2 0.000 0.500 0.208 1
```

crystal system	tetragonal
V	13.4	A^3/atom

---

## x
Density functional theory data (PBE) for a relaxed structure of Nb2Cd2O5.

CIF file:
```
data_Nb2Cd2O5
_cell_length_a 3.467
_cell_length_b 3.467
_cell_length_c 10.006
_cell_angle_alpha 90.00
_cell_angle_beta 90.00
_cell_angle_gamma 90.00
_symmetry_space_group_name_H-M 'P 4/m m m'
_symmetry_Int_Tables_number 123
_symmetry_space_group_name_Hall '-P 4 2'
loop_
_atom_site_label
_atom_site_fract_x
_atom_site_fract_y
_atom_site_fract_z
_atom_site_occupancy
Nb1 0.000 0.000 0.000 1
Nb2 0.000 0.000 0.500 1
Cd1 0.500 0.500 0.237 1
O1 0.000 0.500 0.380 1
O2 0.500 0.500 0.000 1
```

crystal system	tetragonal
V	13.4	A^3/atom

---

Stability, descending: w, x

---

## w
Density functional theory data (PBE) for a relaxed structure of NbCdOs.

CIF file:
```
data_NbCdOs
_cell_length_a 6.262
_cell_length_b 6.262
_cell_length_c 6.262
_cell_angle_alpha 90.00
_cell_angle_beta 90.00
_cell_angle_gamma 90.00
_symmetry_space_group_name_H-M 'F -4 3 m'
_symmetry_Int_Tables_number 216
_symmetry_space_group_name_Hall 'F -4 2 3'
loop_
_atom_site_label
_atom_site_fract_x
_atom_site_fract_y
_atom_site_fract_z
_atom_site_occupancy
Nb1 0.000 0.000 0.000 1
Cd1 0.250 0.250 0.750 1
Os1 0.250 0.250 0.250 1
```

crystal system	cubic
V	20.5	A^3/atom

---

## x
Density functional theory data (PBE) for a relaxed structure of NbCdOs.

CIF file:
```
data_NbCdOs
_cell_length_a 6.254
_cell_length_b 6.254
_cell_length_c 6.254
_cell_angle_alpha 90.00
_cell_angle_beta 90.00
_cell_angle_gamma 90.00
_symmetry_space_group_name_H-M 'F -4 3 m'
_symmetry_Int_Tables_number 216
_symmetry_space_group_name_Hall 'F -4 2 3'
loop_
_atom_site_label
_atom_site_fract_x
_atom_site_fract_y
_atom_site_fract_z
_atom_site_occupancy
Nb1 0.000 0.000 0.000 1
Cd1 0.000 0.000 0.500 1
Os1 0.250 0.250 0.750 1
```

crystal system	cubic
V	20.4	A^3/atom

---

Stability, descending: x, w

---

## w
Density functional theory data (PBE) for a relaxed structure of PaNbCd.

CIF file:
```
data_PaNbCd
_cell_length_a 6.773
_cell_length_b 6.773
_cell_length_c 6.773
_cell_angle_alpha 90.00
_cell_angle_beta 90.00
_cell_angle_gamma 90.00
_symmetry_space_group_name_H-M 'F -4 3 m'
_symmetry_Int_Tables_number 216
_symmetry_space_group_name_Hall 'F -4 2 3'
loop_
_atom_site_label
_atom_site_fract_x
_atom_site_fract_y
_atom_site_fract_z
_atom_site_occupancy
Pa1 0.000 0.000 0.000 1
Nb1 0.250 0.250 0.250 1
Cd1 0.250 0.250 0.750 1
```

crystal system	cubic
V	25.9	A^3/atom

---

## x
Density functional theory data (PBE) for a relaxed structure of PaNbCd.

CIF file:
```
data_PaNbCd
_cell_length_a 6.636
_cell_length_b 6.636
_cell_length_c 6.636
_cell_angle_alpha 90.00
_cell_angle_beta 90.00
_cell_angle_gamma 90.00
_symmetry_space_group_name_H-M 'F -4 3 m'
_symmetry_Int_Tables_number 216
_symmetry_space_group_name_Hall 'F -4 2 3'
loop_
_atom_site_label
_atom_site_fract_x
_atom_site_fract_y
_atom_site_fract_z
_atom_site_occupancy
Pa1 0.000 0.000 0.000 1
Nb1 0.250 0.250 0.750 1
Cd1 0.000 0.000 0.500 1
```

crystal system	cubic
V	24.4	A^3/atom

---

Stability, descending: x, w

---

## w
Density functional theory data (PBE) for a relaxed structure of NbCdPd.

CIF file:
```
data_NbCdPd
_cell_length_a 6.348
_cell_length_b 6.348
_cell_length_c 6.348
_cell_angle_alpha 90.00
_cell_angle_beta 90.00
_cell_angle_gamma 90.00
_symmetry_space_group_name_H-M 'F -4 3 m'
_symmetry_Int_Tables_number 216
_symmetry_space_group_name_Hall 'F -4 2 3'
loop_
_atom_site_label
_atom_site_fract_x
_atom_site_fract_y
_atom_site_fract_z
_atom_site_occupancy
Nb1 0.000 0.000 0.000 1
Cd1 0.250 0.250 0.750 1
Pd1 0.250 0.250 0.250 1
```

crystal system	cubic
V	21.3	A^3/atom

---

## x
Density functional theory data (PBE) for a relaxed structure of NbCdPd.

CIF file:
```
data_NbCdPd
_cell_length_a 6.248
_cell_length_b 6.248
_cell_length_c 6.248
_cell_angle_alpha 90.00
_cell_angle_beta 90.00
_cell_angle_gamma 90.00
_symmetry_space_group_name_H-M 'F -4 3 m'
_symmetry_Int_Tables_number 216
_symmetry_space_group_name_Hall 'F -4 2 3'
loop_
_atom_site_label
_atom_site_fract_x
_atom_site_fract_y
_atom_site_fract_z
_atom_site_occupancy
Nb1 0.000 0.000 0.000 1
Cd1 0.000 0.000 0.500 1
Pd1 0.250 0.250 0.750 1
```

crystal system	cubic
V	20.3	A^3/atom

---

Stability, descending: x, w

---

## w
Density functional theory data (PBE) for a relaxed structure of PmNbCd.

CIF file:
```
data_PmNbCd
_cell_length_a 6.945
_cell_length_b 6.945
_cell_length_c 6.945
_cell_angle_alpha 90.00
_cell_angle_beta 90.00
_cell_angle_gamma 90.00
_symmetry_space_group_name_H-M 'F -4 3 m'
_symmetry_Int_Tables_number 216
_symmetry_space_group_name_Hall 'F -4 2 3'
loop_
_atom_site_label
_atom_site_fract_x
_atom_site_fract_y
_atom_site_fract_z
_atom_site_occupancy
Pm1 0.000 0.000 0.000 1
Nb1 0.250 0.250 0.750 1
Cd1 0.000 0.000 0.500 1
```

crystal system	cubic
V	27.9	A^3/atom

---

## x
Density functional theory data (PBE) for a relaxed structure of PmNbCd.

CIF file:
```
data_PmNbCd
_cell_length_a 7.052
_cell_length_b 7.052
_cell_length_c 7.052
_cell_angle_alpha 90.00
_cell_angle_beta 90.00
_cell_angle_gamma 90.00
_symmetry_space_group_name_H-M 'F -4 3 m'
_symmetry_Int_Tables_number 216
_symmetry_space_group_name_Hall 'F -4 2 3'
loop_
_atom_site_label
_atom_site_fract_x
_atom_site_fract_y
_atom_site_fract_z
_atom_site_occupancy
Pm1 0.000 0.000 0.000 1
Nb1 0.250 0.250 0.250 1
Cd1 0.250 0.250 0.750 1
```

crystal system	cubic
V	29.2	A^3/atom

---

Stability, descending: w, x

---

## w
Density functional theory data (PBE) for a relaxed structure of RbNbCdS3.

CIF file:
```
data_RbNbCdS3
_cell_length_a 8.035
_cell_length_b 3.687
_cell_length_c 10.792
_cell_angle_alpha 90.00
_cell_angle_beta 108.41
_cell_angle_gamma 90.00
_symmetry_space_group_name_H-M 'P 1 21/m 1'
_symmetry_Int_Tables_number 11
loop_
_symmetry_equiv_pos_as_xyz
'x,y,z'
'-x,-y,-z'
'-x,y+1/2,-z'
'x,-y+1/2,z'
loop_
_atom_site_label
_atom_site_fract_x
_atom_site_fract_y
_atom_site_fract_z
_atom_site_occupancy
Rb1 0.029 0.250 0.293 1
Nb1 0.468 0.250 0.097 1
Cd1 0.484 0.750 0.375 1
S1 0.273 0.750 0.146 1
S2 0.294 0.750 0.541 1
S3 0.309 0.250 0.865 1
```

crystal system	monoclinic
V	25.3	A^3/atom

---

## x
Density functional theory data (PBE) for a relaxed structure of RbNbCdS3.

CIF file:
```
data_RbNbCdS3
_cell_length_a 3.815
_cell_length_b 15.280
_cell_length_c 10.199
_cell_angle_alpha 90.00
_cell_angle_beta 90.00
_cell_angle_gamma 90.00
_symmetry_space_group_name_H-M 'C m c m'
_symmetry_Int_Tables_number 63
_symmetry_space_group_name_Hall '-C 2c 2'
loop_
_atom_site_label
_atom_site_fract_x
_atom_site_fract_y
_atom_site_fract_z
_atom_site_occupancy
Rb1 0.000 0.244 0.250 1
Nb1 0.000 0.500 0.000 1
Cd1 0.000 0.045 0.750 1
S1 0.000 0.116 0.532 1
S2 0.000 0.436 0.750 1
```

crystal system	orthorhombic
V	24.8	A^3/atom

---

Stability, descending: w, x